1.
Computed, not measured: a relaxed SbIr2Pb crystal at the PBEsol level of DFT.

As for the density of states at the Fermi level: 0.6519 states/eV/atom. The calculated total energy comes out at -0.252 hartree per atom. The uncorrected formation energy is 0.19 eV/atom.

a b c (Å): 3.705 3.923 5.578
angles (deg): 90.00 109.40 90.00
Atoms (fractional coordinates):
Ir 0.836 0.000 0.671
Ir 0.667 0.500 0.333
Pb 0.101 0.000 0.201
Sb 0.401 0.500 0.803

---

2.
Computed, not measured: a relaxed SbIr2Pb crystal at the PBEsol level of DFT.

As for the density of states at the Fermi level: 0.7371 states/eV/atom. The calculated total energy comes out at -0.232 hartree per atom. The uncorrected formation energy is 0.73 eV/atom.

a b c (Å): 4.731 4.731 4.731
angles (deg): 60.00 60.00 60.00
Atoms (fractional coordinates):
Ir 0.000 0.000 0.000
Ir 0.750 0.750 0.750
Pb 0.500 0.500 0.500
Sb 0.250 0.250 0.250

---

3.
Computed, not measured: a relaxed Sb3IrPb crystal at the PBEsol level of DFT.

As for the density of states at the Fermi level: 0.9562 states/eV/atom. The calculated total energy comes out at -0.129 hartree per atom. The uncorrected formation energy is 1.98 eV/atom.

a b c (Å): 5.462 5.462 5.462
angles (deg): 90.00 90.00 90.00
Atoms (fractional coordinates):
Pb 0.000 0.000 0.000
Sb 0.000 0.500 0.000
Sb 0.000 0.000 0.500
Sb 0.500 0.000 0.000
Ir 0.500 0.500 0.500

---

4.
Computed, not measured: a relaxed Sc4IrPb crystal at the PBEsol level of DFT.

As for the density of states at the Fermi level: 1.2357 states/eV/atom. The calculated total energy comes out at -0.239 hartree per atom. Its formation energy is 19.5 kJ per mole of atoms.

a b c (Å): 5.533 5.533 5.533
angles (deg): 60.00 60.00 60.00
Atoms (fractional coordinates):
Ir 0.750 0.750 0.750
Pb 0.000 0.000 0.000
Sc 0.376 0.376 0.376
Sc 0.376 0.376 0.871
Sc 0.871 0.376 0.376
Sc 0.376 0.871 0.376

---

5.
Computed, not measured: a relaxed ScIrPb crystal at the PBEsol level of DFT.

As for the density of states at the Fermi level: 0.3749 states/eV/atom. The calculated total energy comes out at -0.263 hartree per atom. Its formation energy is -33.6 kJ per mole of atoms.

a b c (Å): 3.175 3.175 6.310
angles (deg): 104.57 104.57 90.00
Atoms (fractional coordinates):
Ir 0.987 0.987 0.974
Pb 0.653 0.653 0.306
Sc 0.360 0.360 0.720

---

6.
Computed, not measured: a relaxed Sc2IrPb crystal at the PBEsol level of DFT.

As for the density of states at the Fermi level: 0.5322 states/eV/atom. The calculated total energy comes out at -0.261 hartree per atom. Its formation energy is -34.4 kJ per mole of atoms.

a b c (Å): 3.228 4.323 5.993
angles (deg): 90.00 90.00 90.00
Atoms (fractional coordinates):
Ir 0.000 0.000 0.414
Pb 0.500 0.500 0.782
Sc 0.000 0.000 0.000
Sc 0.500 0.500 0.303

---

7.
Computed, not measured: a relaxed ScIr3Pb crystal at the PBEsol level of DFT.

As for the density of states at the Fermi level: 0.5511 states/eV/atom. The calculated total energy comes out at -0.233 hartree per atom. Its formation energy is 160.4 kJ per mole of atoms.

a b c (Å): 4.862 4.862 4.862
angles (deg): 90.00 90.00 90.00
Atoms (fractional coordinates):
Pb 0.000 0.000 0.000
Sc 0.500 0.500 0.500
Ir 0.000 0.500 0.000
Ir 0.000 0.000 0.500
Ir 0.500 0.000 0.000

---

8.
Computed, not measured: a relaxed ScIrPb crystal at the PBEsol level of DFT.

As for the density of states at the Fermi level: 1.1369 states/eV/atom. The calculated total energy comes out at -0.265 hartree per atom. Its formation energy is -38.9 kJ per mole of atoms.

a b c (Å): 4.519 4.519 4.519
angles (deg): 60.00 60.00 60.00
Atoms (fractional coordinates):
Ir 0.250 0.250 0.250
Pb 0.000 0.000 0.000
Sc 0.500 0.500 0.500

---

9.
Computed, not measured: a relaxed Sc2IrPb crystal at the PBEsol level of DFT.

As for the density of states at the Fermi level: 0.6116 states/eV/atom. The calculated total energy comes out at -0.274 hartree per atom. Its formation energy is -66.3 kJ per mole of atoms.

a b c (Å): 3.138 3.139 8.068
angles (deg): 90.00 90.00 90.00
Atoms (fractional coordinates):
Pb 0.500 0.500 0.500
Sc 0.000 0.000 0.795
Sc 0.000 0.000 0.205
Ir 0.500 0.500 0.000

---

10.
Computed, not measured: a relaxed Ir2PbSe crystal at the PBEsol level of DFT.

As for the density of states at the Fermi level: 0.4046 states/eV/atom. The calculated total energy comes out at -0.247 hartree per atom. The uncorrected formation energy is 0.15 eV/atom.

a b c (Å): 3.946 3.943 5.782
angles (deg): 90.06 90.00 90.00
Atoms (fractional coordinates):
Ir 0.000 0.125 0.099
Ir 0.500 0.625 0.099
Pb 0.000 0.626 0.438
Se 0.500 0.125 0.864

---

11.
Computed, not measured: a relaxed IrPbSe2 crystal at the PBEsol level of DFT.

As for the density of states at the Fermi level: 0.7302 states/eV/atom. The calculated total energy comes out at -0.177 hartree per atom. The uncorrected formation energy is 0.55 eV/atom.

a b c (Å): 3.244 4.751 5.024
angles (deg): 90.00 90.00 90.00
Atoms (fractional coordinates):
Ir 0.500 0.500 0.000
Pb 0.000 0.500 0.500
Se 0.000 0.000 0.000
Se 0.500 0.000 0.500

---

12.
Computed, not measured: a relaxed IrPbSe2 crystal at the PBEsol level of DFT.

As for the density of states at the Fermi level: 0.7832 states/eV/atom. The calculated total energy comes out at -0.186 hartree per atom. The uncorrected formation energy is 0.31 eV/atom.

a b c (Å): 4.759 4.759 4.759
angles (deg): 109.32 109.32 109.78
Atoms (fractional coordinates):
Ir 0.000 0.000 0.000
Pb 0.500 0.500 0.000
Se 0.000 0.500 0.500
Se 0.500 0.000 0.500

---

13.
Computed, not measured: a relaxed Si2IrPb crystal at the PBEsol level of DFT.

As for the density of states at the Fermi level: 0.5482 states/eV/atom. The calculated total energy comes out at -0.228 hartree per atom. The uncorrected formation energy is 0.13 eV/atom.

a b c (Å): 4.799 4.799 8.152
angles (deg): 107.12 107.12 90.00
Atoms (fractional coordinates):
Pb 0.250 0.750 0.500
Pb 0.000 0.000 0.000
Si 0.754 0.375 0.250
Si 0.496 0.875 0.250
Si 0.625 0.504 0.750
Si 0.125 0.246 0.750
Ir 0.750 0.250 0.500
Ir 0.500 0.500 0.000

---

14.
Computed, not measured: a relaxed SiIr4Pb crystal at the PBEsol level of DFT.

As for the density of states at the Fermi level: 1.5426 states/eV/atom. The calculated total energy comes out at -0.279 hartree per atom. The uncorrected formation energy is 0.58 eV/atom.

a b c (Å): 5.237 5.237 5.237
angles (deg): 60.00 60.00 60.00
Atoms (fractional coordinates):
Ir 0.375 0.375 0.375
Ir 0.375 0.375 0.876
Ir 0.876 0.375 0.375
Ir 0.375 0.876 0.375
Pb 0.750 0.750 0.750
Si 0.000 0.000 0.000

---

15.
Computed, not measured: a relaxed Sn2Ir2Pb crystal at the PBEsol level of DFT.

As for the density of states at the Fermi level: 0.5191 states/eV/atom. The calculated total energy comes out at -0.233 hartree per atom. Its formation energy is 8.4 kJ per mole of atoms.

a b c (Å): 4.259 4.259 6.542
angles (deg): 109.00 109.00 90.00
Atoms (fractional coordinates):
Pb 0.000 0.000 0.000
Ir 0.389 0.389 0.778
Ir 0.611 0.611 0.222
Sn 0.250 0.750 0.500
Sn 0.750 0.250 0.500